Entry from the Alexandria database: crystalline LaSmTlAg at its relaxed geometry (PBE-GGA).

The energy of formation from the pure elements comes out at -1.31 eV/f.u. The density of states at the Fermi level comes out at 1.040 states/eV per atom. The volume is 28.76 A^3/atom.

It has space group F-43m (No. 216), with a = 7.720 Å, b = 7.720 Å, c = 7.720 Å, α = 90.00°, β = 90.00° and γ = 90.00°. The distinct sites, in fractional coordinates, are La at (0.000, 0.000, 0.000), Sm at (0.000, 0.000, 0.500), Tl at (0.250, 0.250, 0.750) and Ag at (0.250, 0.250, 0.250).

***

Entry from the Alexandria database: crystalline La2Sm2TmAg5 at its relaxed geometry (PBE-GGA).

The energy of formation from the pure elements comes out at -1.36 eV/f.u. The density of states at the Fermi level comes out at 0.747 states/eV per atom. The volume is 26.24 A^3/atom.

It has space group P4/mbm (No. 127), with a = 11.150 Å, b = 11.150 Å, c = 4.221 Å, α = 90.00°, β = 90.00° and γ = 90.00°. The distinct sites, in fractional coordinates, are La at (0.173, 0.327, 0.000), Sm at (0.130, 0.630, 0.000), Tm at (0.000, 0.000, 0.000), Ag at (0.000, 0.500, 0.500) and Ag at (0.060, 0.817, 0.500).

***

Entry from the Alexandria database: crystalline LaSmTmAg at its relaxed geometry (PBE-GGA).

The energy of formation from the pure elements comes out at 0.18 eV/f.u. The density of states at the Fermi level comes out at 0.822 states/eV per atom. The volume is 29.25 A^3/atom.

It has space group F-43m (No. 216), with a = 7.764 Å, b = 7.764 Å, c = 7.764 Å, α = 90.00°, β = 90.00° and γ = 90.00°. The distinct sites, in fractional coordinates, are La at (0.000, 0.000, 0.000), Sm at (0.000, 0.000, 0.500), Tm at (0.250, 0.250, 0.250) and Ag at (0.250, 0.250, 0.750).

***

Entry from the Alexandria database: crystalline LaSmTmAg at its relaxed geometry (PBE-GGA).

The energy of formation from the pure elements comes out at -0.49 eV/f.u. The density of states at the Fermi level comes out at 1.397 states/eV per atom. The volume is 29.45 A^3/atom.

It has space group P4mm (No. 99), with a = 3.666 Å, b = 3.666 Å, c = 8.764 Å, α = 90.00°, β = 90.00° and γ = 90.00°. The distinct sites, in fractional coordinates, are La at (0.000, 0.000, 0.000), Sm at (0.500, 0.500, 0.701), Tm at (0.500, 0.500, 0.292) and Ag at (0.000, 0.000, 0.480).

***

Entry from the Alexandria database: crystalline LaSmYAg at its relaxed geometry (PBE-GGA).

The energy of formation from the pure elements comes out at -0.49 eV/f.u. The density of states at the Fermi level comes out at 1.476 states/eV per atom. The volume is 29.94 A^3/atom.

It has space group P4mm (No. 99), with a = 3.698 Å, b = 3.698 Å, c = 8.761 Å, α = 90.00°, β = 90.00° and γ = 90.00°. The distinct sites, in fractional coordinates, are La at (0.000, 0.000, 0.000), Sm at (0.500, 0.500, 0.707), Y at (0.500, 0.500, 0.294) and Ag at (0.000, 0.000, 0.492).

***

Entry from the Alexandria database: crystalline La2Sm2YAg5 at its relaxed geometry (PBE-GGA).

The energy of formation from the pure elements comes out at -1.35 eV/f.u. The density of states at the Fermi level comes out at 0.788 states/eV per atom. The volume is 26.47 A^3/atom.

It has space group P4/mbm (No. 127), with a = 11.138 Å, b = 11.138 Å, c = 4.268 Å, α = 90.00°, β = 90.00° and γ = 90.00°. The distinct sites, in fractional coordinates, are La at (0.173, 0.327, 0.000), Sm at (0.129, 0.629, 0.000), Y at (0.000, 0.000, 0.000), Ag at (0.000, 0.500, 0.500) and Ag at (0.059, 0.813, 0.500).

***

Look up the energy of formation from the pure elements of the fifth one. -0.49 eV/f.u.

***

Which of these has the highest energy of formation from the pure elements? number 3

***

Which value of volume does entry 3 give? 29.25 A^3/atom